## AcDy2Hg (PBE-GGA)

Data for a relaxed structure of AcDy2Hg.

Cell lengths 5.5698, 5.5698, 5.5698 Å; angles 60.00, 60.00, 60.00 degrees
Sites, in units of the cell vectors:
Ac1 0.5000 0.5000 0.5000
Hg1 0.0000 0.0000 0.0000
Dy1 0.2500 0.2500 0.2500
Dy2 0.7500 0.7500 0.7500

Output
Energy (eV/atom): -3.3488
Theoretical density (g cm⁻³): 10.2
Formation energy (kcal/mol of atoms): 1.3
Symmetry: Fm-3m, No. 225
Excess energy over the best structure of this formula in the dataset (meV per atom): 258

***

## CoTcSe2 (PBE-GGA)

Data for a relaxed structure of CoTcSe2.

Cell lengths 8.2388, 8.2388, 8.2388 Å; angles 22.14, 22.14, 22.14 degrees
Sites, in units of the cell vectors:
Co1 0.0000 0.0000 0.0000
Tc1 0.5000 0.5000 0.5000
Se1 0.9064 0.9064 0.9064
Se2 0.0936 0.0936 0.0936

Output
Energy (eV/atom): -5.9310
Theoretical density (g cm⁻³): 7.5
Raw formation energy (eV per atom): 0.18
Symmetry: R-3m, No. 166
Excess energy over the best structure of this formula in the dataset (meV per atom): 451

***

## ScCoGe (PBE-GGA)

Data for a relaxed structure of ScCoGe.

Cell lengths 4.0724, 6.4971, 6.9996 Å; angles 90.00, 90.00, 90.00 degrees
Sites, in units of the cell vectors:
Sc1 0.7500 0.5041 0.6999
Sc2 0.2500 0.4959 0.3001
Sc3 0.7500 0.0041 0.8001
Sc4 0.2500 0.9959 0.1999
Ge1 0.7500 0.2137 0.3914
Ge2 0.2500 0.7863 0.6086
Ge3 0.7500 0.7137 0.1086
Ge4 0.2500 0.2863 0.8914
Co1 0.7500 0.8464 0.4389
Co2 0.2500 0.1536 0.5611
Co3 0.7500 0.3464 0.0611
Co4 0.2500 0.6536 0.9389

Output
Energy (eV/atom): -6.7496
Theoretical density (g cm⁻³): 6.3
Formation energy (kcal/mol of atoms): -16.9
Symmetry: Pnma, No. 62

***

## AcLa6Cd5 (PBE-GGA)

Data for a relaxed structure of AcLa6Cd5.

Cell lengths 5.6229, 8.0172, 9.7926 Å; angles 114.16, 106.68, 90.00 degrees
Sites, in units of the cell vectors:
Ac1 0.0000 0.0000 0.0000
Cd1 0.6541 0.1541 0.3083
Cd2 0.3307 0.3307 0.6615
Cd3 0.0000 0.5000 0.0000
Cd4 0.6693 0.6693 0.3385
Cd5 0.3459 0.8459 0.6917
La1 0.8249 0.5619 0.6497
La2 0.8249 0.0878 0.6497
La3 0.5000 0.7210 0.0000
La4 0.5000 0.2790 0.0000
La5 0.1751 0.9122 0.3503
La6 0.1751 0.4381 0.3503

Output
Energy (eV/atom): -3.4118
Theoretical density (g cm⁻³): 7.0
Formation energy (kcal/mol of atoms): -5.2
Symmetry: Immm, No. 71

***

## LaErNi2P2 (PBE-GGA)

Data for a relaxed structure of LaErNi2P2.

Cell lengths 3.9450, 3.9450, 7.9402 Å; angles 90.00, 90.00, 120.00 degrees
Sites, in units of the cell vectors:
La1 0.0000 0.0000 0.0000
Er1 0.0000 0.0000 0.5000
Ni1 0.6667 0.3333 0.2623
Ni2 0.3333 0.6667 0.7377
P1 0.6667 0.3333 0.7324
P2 0.3333 0.6667 0.2676

Output
Energy (eV/atom): -6.5128
Theoretical density (g cm⁻³): 7.5
Formation energy (kcal/mol of atoms): -27.7
Symmetry: P-3m1, No. 164

***

## La12Pr3Al (PBE-GGA)

Data for a relaxed structure of La12Pr3Al.

Cell lengths 5.1650, 5.1650, 20.9907 Å; angles 90.00, 90.00, 90.00 degrees
Sites, in units of the cell vectors:
La1 0.5000 0.5000 0.0000
La2 0.5000 0.5000 0.2459
La3 0.5000 0.5000 0.5000
La4 0.5000 0.5000 0.7541
La5 0.5000 0.0000 0.1160
La6 0.5000 0.0000 0.3715
La7 0.5000 0.0000 0.6285
La8 0.5000 0.0000 0.8840
La9 0.0000 0.5000 0.1160
La10 0.0000 0.5000 0.3715
La11 0.0000 0.5000 0.6285
La12 0.0000 0.5000 0.8840
Pr1 0.0000 0.0000 0.2444
Pr2 0.0000 0.0000 0.5000
Pr3 0.0000 0.0000 0.7556
Al1 0.0000 0.0000 0.0000

Output
Energy (eV/atom): -4.8540
Theoretical density (g cm⁻³): 6.3
Formation energy (kcal/mol of atoms): -0.7
Symmetry: P4/mmm, No. 123